Entry from Alexandria: an optimized crystal structure of TiWAu2S (GGA-PBE).

Computed properties:
ΔE_f (raw), meV per atom: 845
Total magnetic moment, μB per cell: 0.0
Density of states at the Fermi level, states/eV/f.u.: 6.0
ρ, g/cm3: 11.22

a = 4.675 Å, b = 4.675 Å, c = 4.454 Å
α = 90.00°, β = 90.00°, γ = 90.00°
Positions (direct):
Ti 0.000 0.000 0.000
W 0.500 0.500 0.000
Au 0.000 0.500 0.500
Au 0.500 0.000 0.500
S 0.500 0.500 0.500